(1)
Crystalline KTa2Cl at its relaxed geometry, computed with GGA-PBEsol.

Its uncorrected formation energy is 0.565 eV/atom. As for the excess energy over the best structure of this formula in the dataset: 531.5 meV per atom. The calculation puts the magnetization at 0.00 μB per cell.

The structure belongs to space group P2/m (No. 10); the cell edges are 3.0995, 6.7177 and 4.5225 Å and the angles 90.00°, 90.84° and 90.00°. The asymmetric unit holds K at (0.0000, 0.0000, 0.0000), Ta at (0.2571, 0.5000, 0.2381) and Cl at (0.5000, 0.0000, 0.5000).

(2)
Crystalline KTa2TlCl at its relaxed geometry, computed with GGA-PBEsol.

Its uncorrected formation energy is 1.731 eV/atom. The calculation puts the magnetization at 3.51 μB per cell.

The structure belongs to space group P4/mmm (No. 123); the cell edges are 5.1682, 5.1682 and 6.7497 Å and the angles 90.00°, 90.00° and 90.00°. The asymmetric unit holds K at (0.0000, 0.0000, 0.0000), Ta at (0.0000, 0.5000, 0.5000), Tl at (0.0000, 0.0000, 0.5000) and Cl at (0.5000, 0.5000, 0.0000).

(3)
Crystalline K2TbCl5 at its relaxed geometry, computed with GGA-PBEsol.

Its uncorrected formation energy is -2.171 eV/atom. The calculation puts the magnetization at 0.00 μB per cell.

The structure belongs to space group Pnma (No. 62); the cell edges are 12.5776, 8.4624 and 7.8739 Å and the angles 90.00°, 90.00° and 90.00°. The asymmetric unit holds K at (0.1718, 0.0045, 0.0558), Tb at (0.0053, 0.2500, 0.5752), Cl at (0.0102, 0.2500, 0.9163), Cl at (0.0736, 0.5440, 0.6644), Cl at (0.1779, 0.2500, 0.3798) and Cl at (0.2004, 0.7500, 0.3429).

(4)
Crystalline KTb2Cl7 at its relaxed geometry, computed with GGA-PBEsol.

Its uncorrected formation energy is -2.252 eV/atom. The calculation puts the magnetization at 0.00 μB per cell.

The structure belongs to space group P2_1/c (No. 14); the cell edges are 6.8609, 12.4043 and 12.9393 Å and the angles 90.00°, 92.09° and 90.00°. The asymmetric unit holds K at (0.1923, 0.2148, 0.4712), Tb at (0.2150, 0.5361, 0.2606), Tb at (0.2853, 0.6599, 0.7566), Cl at (0.0054, 0.2073, 0.1855), Cl at (0.0354, 0.5670, 0.6196), Cl at (0.0754, 0.5250, 0.8729), Cl at (0.2552, 0.6861, 0.1073), Cl at (0.4401, 0.0608, 0.6233), Cl at (0.4460, 0.0969, 0.8752) and Cl at (0.4806, 0.6730, 0.3400).

(5)
Crystalline K2TcCl at its relaxed geometry, computed with GGA-PBEsol.

Its uncorrected formation energy is 0.521 eV/atom. As for the excess energy over the best structure of this formula in the dataset: 167.4 meV per atom. The calculation puts the magnetization at 3.57 μB per cell.

The structure belongs to space group P4/mmm (No. 123); the cell edges are 5.8637, 5.8637 and 3.2449 Å and the angles 90.00°, 90.00° and 90.00°. The asymmetric unit holds K at (0.0000, 0.5000, 0.0000), Tc at (0.0000, 0.0000, 0.5000) and Cl at (0.5000, 0.5000, 0.5000).

(6)
Crystalline K3Tc2Cl8 at its relaxed geometry, computed with GGA-PBEsol.

Its uncorrected formation energy is -1.293 eV/atom. The calculation puts the magnetization at 3.06 μB per cell.

The structure belongs to space group P3_121 (No. 152); the cell edges are 12.5835, 12.5835 and 8.0368 Å and the angles 90.00°, 90.00° and 120.00°. The asymmetric unit holds K at (0.0000, 0.2948, 0.1667), K at (0.1808, 0.6712, 0.5762), Tc at (0.0839, 0.6436, 0.0999), Cl at (0.0519, 0.7493, 0.8834), Cl at (0.0614, 0.4994, 0.8933), Cl at (0.1711, 0.3712, 0.5679) and Cl at (0.2076, 0.5770, 0.2330).